Record 1
# NdMg (GGA-PBE, relaxed)
# Relative energy among the computed polymorphs ... 0 meV/atom
data_NdMg
_cell_length_a 5.4991
_cell_length_b 3.8893
_cell_length_c 5.4888
_cell_angle_alpha 90.00
_cell_angle_beta 90.00
_cell_angle_gamma 90.00
_symmetry_space_group_name_H-M 'P m m a'
_symmetry_Int_Tables_number 51
loop_
_symmetry_equiv_pos_as_xyz
'x,y,z'
'-x,-y,-z'
'-x+1/2,-y,z'
'x+1/2,y,-z'
'x+1/2,-y,-z'
'-x+1/2,y,z'
'-x,y,-z'
'x,-y,z'
loop_
_atom_site_label
_atom_site_type_symbol
_atom_site_fract_x
_atom_site_fract_y
_atom_site_fract_z
Nd1 Nd 0.2500 0.0000 0.2455
Mg1 Mg 0.2500 0.5000 0.7431

Record 2
# CsCuSbTe3 (GGA-PBE, relaxed)
# Uncorrected energy ... -3.35 eV per atom
data_CsCuSbTe3
_cell_length_a 4.2448
_cell_length_b 17.2233
_cell_length_c 11.6410
_cell_angle_alpha 90.00
_cell_angle_beta 90.00
_cell_angle_gamma 90.00
_symmetry_space_group_name_H-M 'C m c m'
_symmetry_Int_Tables_number 63
_symmetry_space_group_name_Hall '-C 2c 2'
loop_
_atom_site_label
_atom_site_type_symbol
_atom_site_fract_x
_atom_site_fract_y
_atom_site_fract_z
Cs1 Cs 0.0000 0.2417 0.2500
Cu1 Cu 0.0000 0.0453 0.7500
Sb1 Sb 0.0000 0.5000 0.0000
Te1 Te 0.0000 0.1206 0.5533
Te2 Te 0.0000 0.4513 0.7500

Record 3
# Rb2SnPdBr6 (GGA-PBE, relaxed)
# Uncorrected energy ... -3.13 eV per atom
data_Rb2SnPdBr6
_cell_length_a 10.9810
_cell_length_b 10.9810
_cell_length_c 10.9810
_cell_angle_alpha 90.00
_cell_angle_beta 90.00
_cell_angle_gamma 90.00
_symmetry_space_group_name_H-M 'F m -3 m'
_symmetry_Int_Tables_number 225
_symmetry_space_group_name_Hall '-F 4 2 3'
loop_
_atom_site_label
_atom_site_type_symbol
_atom_site_fract_x
_atom_site_fract_y
_atom_site_fract_z
Rb1 Rb 0.2500 0.2500 0.2500
Sn1 Sn 0.0000 0.0000 0.0000
Pd1 Pd 0.0000 0.0000 0.5000
Br1 Br 0.0000 0.0000 0.2570

Record 4
# CsScIr (GGA-PBE, relaxed)
# Relative energy among the computed polymorphs ... 0 meV/atom
data_CsScIr
_cell_length_a 6.9274
_cell_length_b 6.9274
_cell_length_c 6.9274
_cell_angle_alpha 90.00
_cell_angle_beta 90.00
_cell_angle_gamma 90.00
_symmetry_space_group_name_H-M 'F -4 3 m'
_symmetry_Int_Tables_number 216
_symmetry_space_group_name_Hall 'F -4 2 3'
loop_
_atom_site_label
_atom_site_type_symbol
_atom_site_fract_x
_atom_site_fract_y
_atom_site_fract_z
Cs1 Cs 0.0000 0.0000 0.0000
Sc1 Sc 0.0000 0.0000 0.5000
Ir1 Ir 0.2500 0.2500 0.2500

Record 5
# Tm3InS6 (GGA-PBE, relaxed)
# Uncorrected energy ... -5.75 eV per atom
data_Tm3InS6
_cell_length_a 13.3484
_cell_length_b 16.3957
_cell_length_c 3.8021
_cell_angle_alpha 90.00
_cell_angle_beta 90.00
_cell_angle_gamma 90.00
_symmetry_space_group_name_H-M 'P 21 21 2'
_symmetry_Int_Tables_number 18
loop_
_symmetry_equiv_pos_as_xyz
'x,y,z'
'-x,-y,z'
'x+1/2,-y+1/2,-z'
'-x+1/2,y+1/2,-z'
loop_
_atom_site_label
_atom_site_type_symbol
_atom_site_fract_x
_atom_site_fract_y
_atom_site_fract_z
Tm1 Tm 0.0378 0.2254 0.2516
Tm2 Tm 0.1900 0.6455 0.2507
Tm3 Tm 0.2503 0.3917 0.2457
In1 In 0.0000 0.0000 0.7642
In2 In 0.0000 0.5000 0.7490
S1 S 0.0201 0.3938 0.2492
S2 S 0.0977 0.9103 0.2554
S3 S 0.1109 0.1203 0.7526
S4 S 0.1141 0.7455 0.7514
S5 S 0.1817 0.2867 0.7468
S6 S 0.1949 0.5209 0.7493

Record 6
# Nd2Zr2O5 (GGA-PBE, relaxed)
# Relative energy among the computed polymorphs ... 221 meV/atom
data_Nd2Zr2O5
_cell_length_a 3.6648
_cell_length_b 3.6648
_cell_length_c 10.4147
_cell_angle_alpha 90.00
_cell_angle_beta 90.00
_cell_angle_gamma 90.00
_symmetry_space_group_name_H-M 'P 4/m m m'
_symmetry_Int_Tables_number 123
_symmetry_space_group_name_Hall '-P 4 2'
loop_
_atom_site_label
_atom_site_type_symbol
_atom_site_fract_x
_atom_site_fract_y
_atom_site_fract_z
Nd1 Nd 0.0000 0.0000 0.2489
Zr1 Zr 0.5000 0.5000 0.0000
Zr2 Zr 0.5000 0.5000 0.5000
O1 O 0.0000 0.0000 0.5000
O2 O 0.0000 0.5000 0.1214

Record 7
# LaPrCo2Ge4 (GGA-PBE, relaxed)
# Uncorrected energy ... -5.97 eV per atom
data_LaPrCo2Ge4
_cell_length_a 4.3013
_cell_length_b 4.2754
_cell_length_c 8.6533
_cell_angle_alpha 90.00
_cell_angle_beta 104.12
_cell_angle_gamma 90.00
_symmetry_space_group_name_H-M 'P 1 m 1'
_symmetry_Int_Tables_number 6
loop_
_symmetry_equiv_pos_as_xyz
'x,y,z'
'x,-y,z'
loop_
_atom_site_label
_atom_site_type_symbol
_atom_site_fract_x
_atom_site_fract_y
_atom_site_fract_z
La1 La 0.0000 0.0000 0.0000
Pr1 Pr 0.7675 0.5000 0.5632
Co1 Co 0.2081 0.0000 0.4155
Co2 Co 0.5587 0.5000 0.1479
Ge1 Ge 0.1266 0.5000 0.2838
Ge2 Ge 0.3272 0.0000 0.6899
Ge3 Ge 0.4393 0.5000 0.8712
Ge4 Ge 0.6417 0.0000 0.2819

Record 8
# Ga2SnMo (GGA-PBE, relaxed)
# Uncorrected energy ... -4.70 eV per atom
data_Ga2SnMo
_cell_length_a 6.6660
_cell_length_b 6.6660
_cell_length_c 6.6660
_cell_angle_alpha 90.00
_cell_angle_beta 90.00
_cell_angle_gamma 90.00
_symmetry_space_group_name_H-M 'F -4 3 m'
_symmetry_Int_Tables_number 216
_symmetry_space_group_name_Hall 'F -4 2 3'
loop_
_atom_site_label
_atom_site_type_symbol
_atom_site_fract_x
_atom_site_fract_y
_atom_site_fract_z
Ga1 Ga 0.0000 0.0000 0.0000
Ga2 Ga 0.2500 0.2500 0.2500
Sn1 Sn 0.2500 0.2500 0.7500
Mo1 Mo 0.0000 0.0000 0.5000

Record 9
# Li2H2Pd (GGA-PBE, relaxed)
# Uncorrected energy ... -3.56 eV per atom
data_Li2H2Pd
_cell_length_a 6.5433
_cell_length_b 2.9127
_cell_length_c 9.5015
_cell_angle_alpha 90.00
_cell_angle_beta 90.00
_cell_angle_gamma 90.00
_symmetry_space_group_name_H-M 'P n m a'
_symmetry_Int_Tables_number 62
loop_
_symmetry_equiv_pos_as_xyz
'x,y,z'
'-x,-y,-z'
'-x+1/2,-y,z+1/2'
'x+1/2,y,-z+1/2'
'x+1/2,-y+1/2,-z+1/2'
'-x+1/2,y+1/2,z+1/2'
'-x,y+1/2,-z'
'x,-y+1/2,z'
loop_
_atom_site_label
_atom_site_type_symbol
_atom_site_fract_x
_atom_site_fract_y
_atom_site_fract_z
Li1 Li 0.0808 0.2500 0.1076
Li2 Li 0.1659 0.2500 0.4240
H1 H 0.1123 0.2500 0.9087
H2 H 0.1287 0.7500 0.6057
Pd1 Pd 0.1289 0.2500 0.7199

Record 10
# LiFeSbMo (GGA-PBE, relaxed)
# Relative energy among the computed polymorphs ... 0 meV/atom
data_LiFeSbMo
_cell_length_a 6.0947
_cell_length_b 6.0947
_cell_length_c 6.0947
_cell_angle_alpha 90.00
_cell_angle_beta 90.00
_cell_angle_gamma 90.00
_symmetry_space_group_name_H-M 'F -4 3 m'
_symmetry_Int_Tables_number 216
_symmetry_space_group_name_Hall 'F -4 2 3'
loop_
_atom_site_label
_atom_site_type_symbol
_atom_site_fract_x
_atom_site_fract_y
_atom_site_fract_z
Li1 Li 0.0000 0.0000 0.0000
Fe1 Fe 0.0000 0.0000 0.5000
Sb1 Sb 0.2500 0.2500 0.2500
Mo1 Mo 0.2500 0.2500 0.7500